Run i
This record from Alexandria via LeMat-Bulk describes a relaxed Sn3MoN crystal. The functional is PBE-GGA.

**Magnetization**: 0.42 μB per atom
**Theoretical density**: 7.9 g/cm³

Cell and atoms, written as CIF:
```
data_Sn3MoN
_chemical_formula_sum 'Sn3 Mo1 N1'
_space_group_name_H-M_alt 'P m -3 m'
_space_group_IT_number 221
_space_group_name_Hall '-P 4 2 3'
_cell_length_a 4.620
_cell_length_b 4.620
_cell_length_c 4.620
_cell_angle_alpha 90.00
_cell_angle_beta 90.00
_cell_angle_gamma 90.00
loop_
_atom_site_label
_atom_site_type_symbol
_atom_site_fract_x
_atom_site_fract_y
_atom_site_fract_z
Sn1 Sn 0.000 0.000 0.500
Mo1 Mo 0.500 0.500 0.500
N1 N 0.000 0.000 0.000
```

Run ii
This record from Alexandria via LeMat-Bulk describes a relaxed Sn3MoN crystal. The functional is PBE-GGA.

**Magnetization**: 0.60 μB per atom
**Theoretical density**: 5.4 g/cm³

Cell and atoms, written as CIF:
```
data_Sn3MoN
_chemical_formula_sum 'Sn3 Mo1 N1'
_space_group_name_H-M_alt 'P m -3 m'
_space_group_IT_number 221
_space_group_name_Hall '-P 4 2 3'
_cell_length_a 5.247
_cell_length_b 5.247
_cell_length_c 5.247
_cell_angle_alpha 90.00
_cell_angle_beta 90.00
_cell_angle_gamma 90.00
loop_
_atom_site_label
_atom_site_type_symbol
_atom_site_fract_x
_atom_site_fract_y
_atom_site_fract_z
Sn1 Sn 0.000 0.000 0.500
Mo1 Mo 0.000 0.000 0.000
N1 N 0.500 0.500 0.500
```

The structure with the greatest stability is run i.

Run i
This record from Alexandria via LeMat-Bulk describes a relaxed Sr3MoN4 crystal. The functional is PBE-GGA.

**Magnetization**: 0.00 μB per atom
**Theoretical density**: 4.4 g/cm³

Cell and atoms, written as CIF:
```
data_Sr3MoN4
_chemical_formula_sum 'Sr6 Mo2 N8'
_space_group_name_H-M_alt 'P m n 21'
_space_group_IT_number 31
_cell_length_a 7.953
_cell_length_b 6.914
_cell_length_c 5.730
_cell_angle_alpha 90.00
_cell_angle_beta 90.00
_cell_angle_gamma 90.00
loop_
_space_group_symop_operation_xyz
'x,y,z'
'-x+1/2,-y,z+1/2'
'-x,y,z'
'x+1/2,-y,z+1/2'
loop_
_atom_site_label
_atom_site_type_symbol
_atom_site_fract_x
_atom_site_fract_y
_atom_site_fract_z
Sr1 Sr 0.000 0.142 0.000
Sr2 Sr 0.244 0.326 0.499
Mo1 Mo 0.000 0.821 0.467
N1 N 0.000 0.089 0.546
N2 N 0.000 0.816 0.143
N3 N 0.203 0.692 0.554
```

Run ii
This record from Alexandria via LeMat-Bulk describes a relaxed Sr3MoN4 crystal. The functional is PBE-GGA.

**Magnetization**: 0.00 μB per atom
**Theoretical density**: 4.6 g/cm³

Cell and atoms, written as CIF:
```
data_Sr3MoN4
_chemical_formula_sum 'Sr24 Mo8 N32'
_space_group_name_H-M_alt 'P b c a'
_space_group_IT_number 61
_cell_length_a 9.796
_cell_length_b 11.674
_cell_length_c 10.573
_cell_angle_alpha 90.00
_cell_angle_beta 90.00
_cell_angle_gamma 90.00
loop_
_space_group_symop_operation_xyz
'x,y,z'
'-x,-y,-z'
'-x+1/2,-y,z+1/2'
'x+1/2,y,-z+1/2'
'x+1/2,-y+1/2,-z'
'-x+1/2,y+1/2,z'
'-x,y+1/2,-z+1/2'
'x,-y+1/2,z+1/2'
loop_
_atom_site_label
_atom_site_type_symbol
_atom_site_fract_x
_atom_site_fract_y
_atom_site_fract_z
Sr1 Sr 0.027 0.104 0.125
Sr2 Sr 0.132 0.643 0.027
Sr3 Sr 0.196 0.117 0.711
Mo1 Mo 0.191 0.113 0.399
N1 N 0.058 0.008 0.341
N2 N 0.111 0.223 0.505
N3 N 0.187 0.530 0.504
N4 N 0.214 0.680 0.263
```

The structure with the greatest stability is run ii.

Run i
This record from Alexandria via LeMat-Bulk describes a relaxed Sr3MoN4 crystal. The functional is PBE-GGA.

**Magnetization**: 0.00 μB per atom
**Theoretical density**: 4.9 g/cm³

Cell and atoms, written as CIF:
```
data_Sr3MoN4
_chemical_formula_sum 'Sr12 Mo4 N16'
_space_group_name_H-M_alt 'P n m a'
_space_group_IT_number 62
_cell_length_a 7.695
_cell_length_b 8.646
_cell_length_c 8.446
_cell_angle_alpha 90.00
_cell_angle_beta 90.00
_cell_angle_gamma 90.00
loop_
_space_group_symop_operation_xyz
'x,y,z'
'-x,-y,-z'
'-x+1/2,-y,z+1/2'
'x+1/2,y,-z+1/2'
'x+1/2,-y+1/2,-z+1/2'
'-x+1/2,y+1/2,z+1/2'
'-x,y+1/2,-z'
'x,-y+1/2,z'
loop_
_atom_site_label
_atom_site_type_symbol
_atom_site_fract_x
_atom_site_fract_y
_atom_site_fract_z
Sr1 Sr 0.046 0.032 0.224
Sr2 Sr 0.164 0.750 0.476
Mo1 Mo 0.218 0.750 0.992
N1 N 0.010 0.250 0.927
N2 N 0.169 0.068 0.554
N3 N 0.206 0.750 0.766
```

Run ii
This record from Alexandria via LeMat-Bulk describes a relaxed Sr3MoN4 crystal. The functional is PBE-GGA.

**Magnetization**: 0.00 μB per atom
**Theoretical density**: 4.5 g/cm³

Cell and atoms, written as CIF:
```
data_Sr3MoN4
_chemical_formula_sum 'Sr36 Mo12 N48'
_space_group_name_H-M_alt 'C 1 2/c 1'
_space_group_IT_number 15
_cell_length_a 17.994
_cell_length_b 10.371
_cell_length_c 9.969
_cell_angle_alpha 90.00
_cell_angle_beta 97.96
_cell_angle_gamma 90.00
loop_
_space_group_symop_operation_xyz
'x,y,z'
'-x,-y,-z'
'-x,y,-z+1/2'
'x,-y,z+1/2'
'x+1/2,y+1/2,z'
'-x+1/2,-y+1/2,-z'
'-x+1/2,y+1/2,-z+1/2'
'x+1/2,-y+1/2,z+1/2'
loop_
_atom_site_label
_atom_site_type_symbol
_atom_site_fract_x
_atom_site_fract_y
_atom_site_fract_z
Sr1 Sr 0.000 0.016 0.250
Sr2 Sr 0.021 0.339 0.587
Sr3 Sr 0.154 0.235 0.099
Sr4 Sr 0.177 0.128 0.454
Sr5 Sr 0.185 0.464 0.797
Mo1 Mo 0.000 0.335 0.250
Mo2 Mo 0.176 0.148 0.788
N1 N 0.051 0.223 0.378
N2 N 0.065 0.434 0.156
N3 N 0.098 0.255 0.836
N4 N 0.139 0.002 0.692
N5 N 0.235 0.247 0.684
N6 N 0.239 0.094 0.944
```

The structure with the greatest stability is run ii.

Run i
This record from Alexandria via LeMat-Bulk describes a relaxed Sr2Mo2N crystal. The functional is PBE-GGA.

**Magnetization**: 0.02 μB per atom
**Theoretical density**: 5.2 g/cm³

Cell and atoms, written as CIF:
```
data_Sr2Mo2N
_chemical_formula_sum 'Sr4 Mo4 N2'
_space_group_name_H-M_alt 'I 4/m m m'
_space_group_IT_number 139
_space_group_name_Hall '-I 4 2'
_cell_length_a 6.235
_cell_length_b 6.235
_cell_length_c 6.319
_cell_angle_alpha 90.00
_cell_angle_beta 90.00
_cell_angle_gamma 90.00
loop_
_atom_site_label
_atom_site_type_symbol
_atom_site_fract_x
_atom_site_fract_y
_atom_site_fract_z
Sr1 Sr 0.000 0.500 0.250
Mo1 Mo 0.000 0.000 0.196
N1 N 0.000 0.000 0.500
```

Run ii
This record from Alexandria via LeMat-Bulk describes a relaxed Sr2Mo2N crystal. The functional is PBE-GGA.

**Magnetization**: 0.00 μB per atom
**Theoretical density**: 6.4 g/cm³

Cell and atoms, written as CIF:
```
data_Sr2Mo2N
_chemical_formula_sum 'Sr4 Mo4 N2'
_space_group_name_H-M_alt 'P 4/m b m'
_space_group_IT_number 127
_space_group_name_Hall '-P 4 2ab'
_cell_length_a 5.774
_cell_length_b 5.774
_cell_length_c 5.930
_cell_angle_alpha 90.00
_cell_angle_beta 90.00
_cell_angle_gamma 90.00
loop_
_atom_site_label
_atom_site_type_symbol
_atom_site_fract_x
_atom_site_fract_y
_atom_site_fract_z
Sr1 Sr 0.180 0.320 0.000
Mo1 Mo 0.176 0.676 0.500
N1 N 0.000 0.000 0.500
```

The structure with the greatest stability is run ii.

Run i
This record from Alexandria via LeMat-Bulk describes a relaxed SrMo3N crystal. The functional is PBE-GGA.

**Magnetization**: 0.00 μB per atom
**Theoretical density**: 7.9 g/cm³

Cell and atoms, written as CIF:
```
data_SrMo3N
_chemical_formula_sum 'Sr1 Mo3 N1'
_space_group_name_H-M_alt 'P m -3 m'
_space_group_IT_number 221
_space_group_name_Hall '-P 4 2 3'
_cell_length_a 4.340
_cell_length_b 4.340
_cell_length_c 4.340
_cell_angle_alpha 90.00
_cell_angle_beta 90.00
_cell_angle_gamma 90.00
loop_
_atom_site_label
_atom_site_type_symbol
_atom_site_fract_x
_atom_site_fract_y
_atom_site_fract_z
Sr1 Sr 0.000 0.000 0.000
Mo1 Mo 0.000 0.500 0.500
N1 N 0.500 0.500 0.500
```

Run ii
This record from Alexandria via LeMat-Bulk describes a relaxed SrMo3N crystal. The functional is PBE-GGA.

**Magnetization**: 0.00 μB per atom
**Theoretical density**: 6.0 g/cm³

Cell and atoms, written as CIF:
```
data_SrMo3N
_chemical_formula_sum 'Sr1 Mo3 N1'
_space_group_name_H-M_alt 'P m -3 m'
_space_group_IT_number 221
_space_group_name_Hall '-P 4 2 3'
_cell_length_a 4.747
_cell_length_b 4.747
_cell_length_c 4.747
_cell_angle_alpha 90.00
_cell_angle_beta 90.00
_cell_angle_gamma 90.00
loop_
_atom_site_label
_atom_site_type_symbol
_atom_site_fract_x
_atom_site_fract_y
_atom_site_fract_z
Sr1 Sr 0.000 0.000 0.000
Mo1 Mo 0.000 0.000 0.500
N1 N 0.500 0.500 0.500
```

The structure with the greatest stability is run i.

Run i
This record from Alexandria via LeMat-Bulk describes a relaxed SrTeMoN2 crystal. The functional is PBE-GGA.

**Magnetization**: 0.00 μB per atom
**Theoretical density**: 5.8 g/cm³

Cell and atoms, written as CIF:
```
data_SrTeMoN2
_chemical_formula_sum 'Sr1 Te1 Mo1 N2'
_space_group_name_H-M_alt 'P 4/m m m'
_space_group_IT_number 123
_space_group_name_Hall '-P 4 2'
_cell_length_a 4.163
_cell_length_b 4.163
_cell_length_c 5.574
_cell_angle_alpha 90.00
_cell_angle_beta 90.00
_cell_angle_gamma 90.00
loop_
_atom_site_label
_atom_site_type_symbol
_atom_site_fract_x
_atom_site_fract_y
_atom_site_fract_z
Sr1 Sr 0.000 0.000 0.000
Te1 Te 0.500 0.500 0.000
Mo1 Mo 0.500 0.500 0.500
N1 N 0.000 0.500 0.500
```

Run ii
This record from Alexandria via LeMat-Bulk describes a relaxed SrTeMoN2 crystal. The functional is PBE-GGA.

**Magnetization**: 0.00 μB per atom
**Theoretical density**: 5.0 g/cm³

Cell and atoms, written as CIF:
```
data_SrTeMoN2
_chemical_formula_sum 'Sr1 Te1 Mo1 N2'
_space_group_name_H-M_alt 'P 4/m m m'
_space_group_IT_number 123
_space_group_name_Hall '-P 4 2'
_cell_length_a 4.280
_cell_length_b 4.280
_cell_length_c 6.167
_cell_angle_alpha 90.00
_cell_angle_beta 90.00
_cell_angle_gamma 90.00
loop_
_atom_site_label
_atom_site_type_symbol
_atom_site_fract_x
_atom_site_fract_y
_atom_site_fract_z
Sr1 Sr 0.000 0.000 0.000
Te1 Te 0.000 0.000 0.500
Mo1 Mo 0.500 0.500 0.500
N1 N 0.000 0.500 0.000
```

The structure with the greatest stability is run i.

Run i
This record from Alexandria via LeMat-Bulk describes a relaxed Ta3MoN crystal. The functional is PBE-GGA.

**Magnetization**: 0.00 μB per atom
**Theoretical density**: 9.8 g/cm³

Cell and atoms, written as CIF:
```
data_Ta3MoN
_chemical_formula_sum 'Ta3 Mo1 N1'
_space_group_name_H-M_alt 'P m -3 m'
_space_group_IT_number 221
_space_group_name_Hall '-P 4 2 3'
_cell_length_a 4.803
_cell_length_b 4.803
_cell_length_c 4.803
_cell_angle_alpha 90.00
_cell_angle_beta 90.00
_cell_angle_gamma 90.00
loop_
_atom_site_label
_atom_site_type_symbol
_atom_site_fract_x
_atom_site_fract_y
_atom_site_fract_z
Ta1 Ta 0.000 0.000 0.500
Mo1 Mo 0.000 0.000 0.000
N1 N 0.500 0.500 0.500
```

Run ii
This record from Alexandria via LeMat-Bulk describes a relaxed Ta3MoN crystal. The functional is PBE-GGA.

**Magnetization**: 0.00 μB per atom
**Theoretical density**: 14.0 g/cm³

Cell and atoms, written as CIF:
```
data_Ta3MoN
_chemical_formula_sum 'Ta3 Mo1 N1'
_space_group_name_H-M_alt 'P m -3 m'
_space_group_IT_number 221
_space_group_name_Hall '-P 4 2 3'
_cell_length_a 4.258
_cell_length_b 4.258
_cell_length_c 4.258
_cell_angle_alpha 90.00
_cell_angle_beta 90.00
_cell_angle_gamma 90.00
loop_
_atom_site_label
_atom_site_type_symbol
_atom_site_fract_x
_atom_site_fract_y
_atom_site_fract_z
Ta1 Ta 0.000 0.000 0.500
Mo1 Mo 0.500 0.500 0.500
N1 N 0.000 0.000 0.000
```

The structure with the greatest stability is run ii.

Run i
This record from Alexandria via LeMat-Bulk describes a relaxed TaMo3N crystal. The functional is PBE-GGA.

**Magnetization**: 0.09 μB per atom
**Theoretical density**: 7.5 g/cm³

Cell and atoms, written as CIF:
```
data_TaMo3N
_chemical_formula_sum 'Ta1 Mo3 N1'
_space_group_name_H-M_alt 'P m -3 m'
_space_group_IT_number 221
_space_group_name_Hall '-P 4 2 3'
_cell_length_a 4.752
_cell_length_b 4.752
_cell_length_c 4.752
_cell_angle_alpha 90.00
_cell_angle_beta 90.00
_cell_angle_gamma 90.00
loop_
_atom_site_label
_atom_site_type_symbol
_atom_site_fract_x
_atom_site_fract_y
_atom_site_fract_z
Ta1 Ta 0.000 0.000 0.000
Mo1 Mo 0.000 0.000 0.500
N1 N 0.500 0.500 0.500
```

Run ii
This record from Alexandria via LeMat-Bulk describes a relaxed TaMo3N crystal. The functional is PBE-GGA.

**Magnetization**: 0.00 μB per atom
**Theoretical density**: 11.1 g/cm³

Cell and atoms, written as CIF:
```
data_TaMo3N
_chemical_formula_sum 'Ta1 Mo3 N1'
_space_group_name_H-M_alt 'P m -3 m'
_space_group_IT_number 221
_space_group_name_Hall '-P 4 2 3'
_cell_length_a 4.166
_cell_length_b 4.166
_cell_length_c 4.166
_cell_angle_alpha 90.00
_cell_angle_beta 90.00
_cell_angle_gamma 90.00
loop_
_atom_site_label
_atom_site_type_symbol
_atom_site_fract_x
_atom_site_fract_y
_atom_site_fract_z
Ta1 Ta 0.000 0.000 0.000
Mo1 Mo 0.000 0.500 0.500
N1 N 0.500 0.500 0.500
```

The structure with the greatest stability is run ii.

Run i
This record from Alexandria via LeMat-Bulk describes a relaxed Tb2MoN4 crystal. The functional is PBE-GGA.

**Magnetization**: 0.00 μB per atom
**Theoretical density**: 7.3 g/cm³

Cell and atoms, written as CIF:
```
data_Tb2MoN4
_chemical_formula_sum 'Tb16 Mo8 N32'
_space_group_name_H-M_alt 'F d d d'
_space_group_IT_number 70
_cell_length_a 6.564
_cell_length_b 10.401
_cell_length_c 12.480
_cell_angle_alpha 90.00
_cell_angle_beta 90.00
_cell_angle_gamma 90.00
loop_
_space_group_symop_operation_xyz
'x,y,z'
'-x,-y,-z'
'-x+1/4,-y+1/4,z'
'x+1/4,y+1/4,-z'
'x,-y+1/4,-z+1/4'
'-x,y+1/4,z+1/4'
'-x+1/4,y,-z+1/4'
'x+1/4,-y,z+1/4'
'x,y+1/2,z+1/2'
'-x,-y+1/2,-z+1/2'
'-x+1/4,-y+3/4,z+1/2'
'x+1/4,y+3/4,-z+1/2'
'x,-y+3/4,-z+3/4'
'-x,y+3/4,z+3/4'
'-x+1/4,y+1/2,-z+3/4'
'x+1/4,-y+1/2,z+3/4'
'x+1/2,y,z+1/2'
'-x+1/2,-y,-z+1/2'
'-x+3/4,-y+1/4,z+1/2'
'x+3/4,y+1/4,-z+1/2'
'x+1/2,-y+1/4,-z+3/4'
'-x+1/2,y+1/4,z+3/4'
'-x+3/4,y,-z+3/4'
'x+3/4,-y,z+3/4'
'x+1/2,y+1/2,z'
'-x+1/2,-y+1/2,-z'
'-x+3/4,-y+3/4,z'
'x+3/4,y+3/4,-z'
'x+1/2,-y+3/4,-z+1/4'
'-x+1/2,y+3/4,z+1/4'
'-x+3/4,y+1/2,-z+1/4'
'x+3/4,-y+1/2,z+1/4'
loop_
_atom_site_label
_atom_site_type_symbol
_atom_site_fract_x
_atom_site_fract_y
_atom_site_fract_z
Tb1 Tb 0.125 0.318 0.125
Mo1 Mo 0.125 0.125 0.625
N1 N 0.037 0.257 0.950
```

Run ii
This record from Alexandria via LeMat-Bulk describes a relaxed Tb2MoN4 crystal. The functional is PBE-GGA.

**Magnetization**: 0.00 μB per atom
**Theoretical density**: 7.2 g/cm³

Cell and atoms, written as CIF:
```
data_Tb2MoN4
_chemical_formula_sum 'Tb4 Mo2 N8'
_space_group_name_H-M_alt 'P 1 21/m 1'
_space_group_IT_number 11
_cell_length_a 5.797
_cell_length_b 5.932
_cell_length_c 6.611
_cell_angle_alpha 90.00
_cell_angle_beta 107.91
_cell_angle_gamma 90.00
loop_
_space_group_symop_operation_xyz
'x,y,z'
'-x,-y,-z'
'-x,y+1/2,-z'
'x,-y+1/2,z'
loop_
_atom_site_label
_atom_site_type_symbol
_atom_site_fract_x
_atom_site_fract_y
_atom_site_fract_z
Tb1 Tb 0.171 0.250 0.027
Tb2 Tb 0.248 0.250 0.558
Mo1 Mo 0.279 0.750 0.811
N1 N 0.048 0.510 0.750
N2 N 0.467 0.750 0.089
N3 N 0.491 0.750 0.652
```

The structure with the greatest stability is run i.